The following is a DFT calculation (PBE) of a geometry-optimized Re2BC structure.

The total magnetization comes out at 0.000 μB per cell. For the calculated volume, the calculation gives 208.0 Å³ per cell. Its energy relative to the elements is 0.769 eV/atom.

It has space group I-42d (No. 122), with a = 4.6863 Å, b = 4.6863 Å, c = 9.4692 Å, α = 90.00°, β = 90.00° and γ = 90.00°. The inequivalent atoms are Re at (0.2379, 0.2500, 0.1250), B at (0.0000, 0.0000, 0.5000) and C at (0.0000, 0.0000, 0.0000).